No. 1
Density functional theory data (GGA-PBE) for a geometry-optimized RbPPdO structure.

Computed properties:
Volume ... 20.6 Å³ per atom
E_tot ... -29.2 eV/cell
Mass density ... 4.81 g cm⁻³
Space group ... No. 129

Cell lengths 4.521, 4.521, 8.070 Å; angles 90.00, 90.00, 90.00 degrees
Atoms (fractional coordinates):
Rb  0.250  0.750  0.000
Rb  0.750  0.250  0.000
P  0.250  0.250  0.282
P  0.750  0.750  0.718
Pd  0.250  0.250  0.555
Pd  0.750  0.750  0.445
O  0.250  0.750  0.500
O  0.750  0.250  0.500

=====

No. 2
Density functional theory data (GGA-PBE) for a geometry-optimized NaErTe3Au structure.

Computed properties:
Volume ... 29.5 Å³ per atom
E_tot ... -94.3 eV/cell
Mass density ... 7.22 g cm⁻³
Space group ... No. 62

Cell lengths 11.141, 4.143, 15.350 Å; angles 90.00, 90.00, 90.00 degrees
Atoms (fractional coordinates):
Na  0.226  0.250  0.022
Na  0.274  0.750  0.522
Na  0.726  0.250  0.478
Na  0.774  0.750  0.978
Er  0.020  0.750  0.746
Er  0.480  0.250  0.246
Er  0.520  0.750  0.754
Er  0.980  0.250  0.254
Te  0.036  0.750  0.113
Te  0.073  0.250  0.605
Te  0.232  0.250  0.341
Te  0.268  0.750  0.841
Te  0.427  0.750  0.105
Te  0.464  0.250  0.613
Te  0.536  0.750  0.387
Te  0.573  0.250  0.895
Te  0.732  0.250  0.159
Te  0.768  0.750  0.659
Te  0.927  0.750  0.395
Te  0.964  0.250  0.887
Au  0.238  0.750  0.219
Au  0.262  0.250  0.719
Au  0.738  0.750  0.281
Au  0.762  0.250  0.781

=====

No. 3
Density functional theory data (GGA-PBE) for a geometry-optimized Hf2Al2Ni3Au structure.

Computed properties:
Volume ... 15.3 Å³ per atom
E_tot ... -52.4 eV/cell
Mass density ... 10.62 g cm⁻³
Space group ... No. 156

Cell lengths 4.158, 4.158, 8.185 Å; angles 90.00, 90.00, 120.00 degrees
Atoms (fractional coordinates):
Hf  0.000  0.000  0.000
Hf  0.333  0.667  0.471
Al  0.667  0.333  0.239
Al  0.667  0.333  0.698
Ni  0.000  0.000  0.316
Ni  0.000  0.000  0.641
Ni  0.333  0.667  0.153
Au  0.333  0.667  0.822

=====

No. 4
Density functional theory data (GGA-PBE) for a geometry-optimized BeAlTc structure.

Computed properties:
Volume ... 14.7 Å³ per atom
E_tot ... -16.4 eV/cell
Mass density ... 5.03 g cm⁻³
Space group ... No. 216

Cell lengths 3.969, 3.969, 3.969 Å; angles 60.00, 60.00, 60.00 degrees
Atoms (fractional coordinates):
Be  0.000  0.000  0.000
Al  0.250  0.250  0.250
Tc  0.500  0.500  0.500

=====

No. 5
Density functional theory data (GGA-PBE) for a geometry-optimized CsAgPd structure.

Computed properties:
Volume ... 31.2 Å³ per atom
E_tot ... -7.5 eV/cell
Mass density ... 6.17 g cm⁻³
Space group ... No. 216

Cell lengths 5.094, 5.094, 5.094 Å; angles 60.00, 60.00, 60.00 degrees
Atoms (fractional coordinates):
Cs  0.000  0.000  0.000
Ag  0.500  0.500  0.500
Pd  0.750  0.750  0.750

=====

No. 6
Density functional theory data (GGA-PBE) for a geometry-optimized Mg2ReB structure.

Computed properties:
Volume ... 13.6 Å³ per atom
E_tot ... -18.9 eV/cell
Mass density ... 7.52 g cm⁻³
Space group ... No. 216

Cell lengths 4.248, 4.248, 4.248 Å; angles 60.00, 60.00, 60.00 degrees
Atoms (fractional coordinates):
Mg  0.000  0.000  0.000
Mg  0.250  0.250  0.250
Re  0.750  0.750  0.750
B  0.500  0.500  0.500